This record from the Alexandria database describes crystalline TaRuF3 at its relaxed geometry. The functional is GGA-PBE.

For the volume, the calculation gives 14.56 Å³ per atom. The energy above the most stable polymorph in this dataset is 915 meV per atom. As for the density of states at the Fermi level: 1.742 states/eV/atom.

The structure belongs to space group Pm-3m (No. 221); the cell edges are 4.175, 4.175 and 4.175 Å and the angles 90.00°, 90.00° and 90.00°. The distinct sites, in fractional coordinates, are Ta at (0.000, 0.000, 0.000), Ru at (0.500, 0.500, 0.500) and F at (0.000, 0.500, 0.500).


This record from the Alexandria database describes crystalline CaSi3IrRh at its relaxed geometry. The functional is GGA-PBE.

As for the calculated total energy: -150.13 eV/cell. For the volume, the calculation gives 19.81 Å³ per atom. As for the density of states at the Fermi level: 0.399 states/eV/atom.

The structure belongs to space group Cmcm (No. 63); the cell edges are 6.169, 13.452 and 5.730 Å and the angles 90.00°, 90.00° and 90.00°. The distinct sites, in fractional coordinates, are Ca at (0.000, 0.195, 0.250), Si at (0.000, 0.231, 0.750), Si at (0.213, 0.500, 0.000), Ir at (0.000, 0.067, 0.750) and Rh at (0.000, 0.395, 0.750).


This record from the Alexandria database describes crystalline Y2ZnNiH at its relaxed geometry. The functional is GGA-PBE.

As for the calculated total energy: -25.41 eV/cell. For the volume, the calculation gives 17.24 Å³ per atom. As for the density of states at the Fermi level: 0.323 states/eV/atom.

The structure belongs to space group P4/mmm (No. 123); the cell edges are 4.944, 4.944 and 3.527 Å and the angles 90.00°, 90.00° and 90.00°. The distinct sites, in fractional coordinates, are Y at (0.000, 0.500, 0.000), Zn at (0.000, 0.000, 0.500), Ni at (0.500, 0.500, 0.500) and H at (0.500, 0.500, 0.000).


This record from the Alexandria database describes crystalline MgMoRh2 at its relaxed geometry. The functional is GGA-PBE.

The value obtained for the formation energy is -0.21 eV/atom. For the volume, the calculation gives 15.10 Å³ per atom. As for the density of states at the Fermi level: 0.882 states/eV/atom.

The structure belongs to space group Cmmm (No. 65); the cell edges are 5.936, 7.202 and 2.825 Å and the angles 90.00°, 90.00° and 90.00°. The distinct sites, in fractional coordinates, are Mg at (0.000, 0.000, 0.000), Mo at (0.000, 0.500, 0.000) and Rh at (0.250, 0.250, 0.500).


This record from the Alexandria database describes crystalline U2GaSi3Ir4 at its relaxed geometry. The functional is GGA-PBE.

As for the calculated total energy: -84.50 eV/cell. For the volume, the calculation gives 17.02 Å³ per atom. As for the density of states at the Fermi level: 1.727 states/eV/atom.

The structure belongs to space group P-4m2 (No. 115); the cell edges are 4.089, 4.089 and 10.183 Å and the angles 90.00°, 90.00° and 90.00°. The distinct sites, in fractional coordinates, are U at (0.000, 0.500, 0.245), Ga at (0.500, 0.500, 0.000), Si at (0.000, 0.000, 0.000), Si at (0.000, 0.500, 0.628), Ir at (0.000, 0.000, 0.500), Ir at (0.000, 0.500, 0.858) and Ir at (0.500, 0.500, 0.500).


This record from the Alexandria database describes crystalline La6HoEr4 at its relaxed geometry. The functional is GGA-PBE.

The value obtained for the formation energy is 0.10 eV/atom. For the volume, the calculation gives 34.58 Å³ per atom. As for the density of states at the Fermi level: 1.691 states/eV/atom.

The structure belongs to space group Cmcm (No. 63); the cell edges are 5.885, 9.854 and 26.240 Å and the angles 90.00°, 90.00° and 90.00°. The distinct sites, in fractional coordinates, are La at (0.000, 0.000, 0.000), La at (0.000, 0.037, 0.250), La at (0.000, 0.311, 0.598), La at (0.000, 0.363, 0.182), Ho at (0.000, 0.301, 0.750), Er at (0.000, 0.029, 0.125) and Er at (0.000, 0.344, 0.046).